Density functional theory data (PBE-GGA) for crystalline Mg6SnPb2 at its relaxed geometry. Values from VASP.

Results
Its total energy is -2.315 eV/atom. As for the total magnetic moment: 0.000 μB per formula unit. As for the formation energy from the elements: 17.1 meV per atom. As for the energy above the most stable polymorph in this dataset: 68 meV per atom.

Structure (Quantum ESPRESSO input):
```
&SYSTEM
  ibrav = 0, nat = 18, ntyp = 3
/
ATOMIC_SPECIES
Mg 24.30 Mg.upf
Sn 118.71 Sn.upf
Pb 207.20 Pb.upf
CELL_PARAMETERS angstrom
6.5422 0.0000 0.0000
0.0000 7.3623 0.0000
-5.3297 0.0000 9.7669
ATOMIC_POSITIONS crystal
Mg 0.0808 0.0336 0.2392
Mg 0.0808 0.4664 0.7392
Mg 0.1524 0.7218 0.0404
Mg 0.1524 0.7782 0.5404
Mg 0.3283 0.1327 0.0213
Mg 0.3283 0.3673 0.5213
Mg 0.6717 0.6327 0.4787
Mg 0.6717 0.8673 0.9787
Mg 0.8476 0.2218 0.4596
Mg 0.8476 0.2782 0.9596
Mg 0.9192 0.5336 0.2608
Mg 0.9192 0.9664 0.7608
Sn 0.5000 0.0000 0.5000
Sn 0.5000 0.5000 0.0000
Pb 0.3446 0.1092 0.7410
Pb 0.3446 0.3908 0.2410
Pb 0.6554 0.6092 0.7590
Pb 0.6554 0.8908 0.2590
```